ZrReS2 meta-GGA SCAN PBEsol geometry; calculated total energy = -122.2 eV per cell; total magnetization = 1.39 μB per cell
1.0
0.000 3.069 3.069
3.069 0.000 3.069
3.069 3.069 0.000
Zr Re S
1 1 2
Cartesian
0.000 0.000 0.000
3.069 3.069 3.069
1.534 1.534 1.534
4.603 4.603 4.603

=====

CrSbRhI2 meta-GGA SCAN PBEsol geometry; calculated total energy = -160.7 eV per cell; total magnetization = 5.06 μB per cell
1.0
5.436 0.000 0.000
0.000 5.436 0.000
0.000 0.000 4.933
Cr Sb Rh I
1 1 1 2
Cartesian
0.000 0.000 0.000
2.718 2.718 0.000
2.718 2.718 2.466
0.000 2.718 2.466
2.718 0.000 2.466